{
  "formula": "KMo2O4",
  "functional": "PBE+U",
  "state": "relaxed",
  "dft_energy_ev_per_atom": -6.658,
  "sg": "Imma, No. 74",
  "magnetic_moment_mub_per_fu": 5.000,
  "cell": [[-3.3084, 3.4501, 4.6755], [3.3084, -3.4501, 4.6755], [3.3084, 3.4501, -4.6755]],
  "species": ["K", "K", "Mo", "Mo", "Mo", "Mo", "O", "O", "O", "O", "O", "O", "O", "O"],
  "frac_coords": [[0.3805, 0.1305, 0.2500], [0.6195, 0.8695, 0.7500], [0.0000, 0.0000, 0.5000], [0.0000, 0.5000, 0.0000], [0.0000, 0.5000, 0.5000], [0.5000, 0.5000, 0.0000], [0.1748, 0.7327, 0.4421], [0.2094, 0.2673, 0.9421], [0.2188, 0.2663, 0.5474], [0.2188, 0.6714, 0.9526], [0.7812, 0.3286, 0.0474], [0.7812, 0.7337, 0.4526], [0.7906, 0.7327, 0.0579], [0.8252, 0.2673, 0.5579]]
}